1.
Here is an optimized crystal structure of RuPbW2 from Alexandria. Energies are from PBE.

The calculation puts the energy at -9.06 eV/atom.

a b c (Å): 5.326 5.326 5.326
angles (deg): 137.40 137.40 61.82
Positions (direct):
Ru  0.000  0.000  0.000
Pb  0.500  0.500  0.000
W  0.250  0.750  0.500
W  0.750  0.250  0.500

---

2.
Here is an optimized crystal structure of RuPb3W from Alexandria. Energies are from PBE.

The calculation puts the energy at -5.29 eV/atom.

a b c (Å): 5.223 5.223 5.223
angles (deg): 90.00 90.00 90.00
Positions (direct):
Ru  0.000  0.000  0.000
Pb  0.000  0.000  0.500
Pb  0.000  0.500  0.000
Pb  0.500  0.000  0.000
W  0.500  0.500  0.500

---

3.
Here is an optimized crystal structure of RuPb2W from Alexandria. Energies are from PBE.

As for the energy above the most stable polymorph in this dataset: 640 meV per atom.

a b c (Å): 9.103 9.103 9.103
angles (deg): 20.27 20.27 20.27
Positions (direct):
Ru  0.000  0.000  0.000
Pb  0.254  0.254  0.254
Pb  0.746  0.746  0.746
W  0.500  0.500  0.500

---

4.
Here is an optimized crystal structure of RuPbW2 from Alexandria. Energies are from PBE.

The calculation puts the energy at -9.05 eV/atom.

a b c (Å): 2.887 4.071 6.141
angles (deg): 90.00 90.25 90.00
Positions (direct):
Ru  0.000  0.000  0.000
Pb  0.000  0.000  0.500
W  0.498  0.500  0.201
W  0.502  0.500  0.799